1.
An optimized crystal structure of NaCBr2. Source: Alexandria, functional PBE-GGA.

For the uncorrected formation energy, the calculation gives 1.041 eV/atom. For the magnetic moment, the calculation gives 0.00 μB/cell. The energy relative to the lowest polymorph listed for this composition is 380.4 meV/atom. The calculation puts the theoretical density at 3.04 g/cm³.

The structure belongs to space group R-3m (No. 166, hexagonal axes); the cell edges are 3.8875, 3.8875 and 24.3976 Å and the angles 90.00°, 90.00° and 120.00°. Symmetry generates all atoms from Na at (0.0000, 0.0000, 0.0000), C at (0.0000, 0.0000, 0.5000) and Br at (0.0000, 0.0000, 0.1131).


2.
An optimized crystal structure of Mg6Hg3Rh. Source: Alexandria, functional PBE-GGA.

As for the formation energy: -0.269 eV/atom. For the magnetic moment, the calculation gives 0.00 μB/cell. The calculation puts the theoretical density at 7.02 g/cm³.

The structure belongs to space group P2_1/m (No. 11); the cell edges are 8.677, 4.647 and 10.253 Å and the angles 90.00°, 103.27° and 90.00°. Symmetry generates all atoms from Mg at (0.052, 0.250, 0.410), Mg at (0.169, 0.750, 0.176), Mg at (0.290, 0.250, 0.004), Mg at (0.363, 0.750, 0.837), Mg at (0.370, 0.250, 0.298), Mg at (0.416, 0.250, 0.620), Hg at (0.032, 0.750, 0.890), Hg at (0.133, 0.250, 0.713), Hg at (0.278, 0.750, 0.473) and Rh at (0.453, 0.750, 0.118).


3.
An optimized crystal structure of KSc2Fe. Source: Alexandria, functional PBE-GGA.

As for the formation energy: 0.293 eV/atom. For the magnetic moment, the calculation gives 0.64 μB/cell. The energy relative to the lowest polymorph listed for this composition is 148.0 meV/atom. The calculation puts the theoretical density at 2.69 g/cm³.

The structure belongs to space group R-3m (No. 166, hexagonal axes); the cell edges are 3.7087, 3.7087 and 28.7035 Å and the angles 90.00°, 90.00° and 120.00°. Symmetry generates all atoms from K at (0.0000, 0.0000, 0.0000), Sc at (0.0000, 0.0000, 0.2125) and Fe at (0.0000, 0.0000, 0.5000).


4.
An optimized crystal structure of PmRuBr6. Source: Alexandria, functional PBE-GGA.

For the uncorrected formation energy, the calculation gives -0.936 eV/atom. For the magnetic moment, the calculation gives 3.10 μB/cell. The calculation puts the theoretical density at 4.96 g/cm³.

The structure belongs to space group R-3 (No. 148, hexagonal axes); the cell edges are 6.7681, 6.7681 and 18.3812 Å and the angles 90.00°, 90.00° and 120.00°. Symmetry generates all atoms from Pm at (0.0000, 0.0000, 0.0000), Ru at (0.0000, 0.0000, 0.5000) and Br at (0.0126, 0.3140, 0.4218).


5.
An optimized crystal structure of Tm2Be3ZnCu12. Source: Alexandria, functional PBE-GGA.

As for the formation energy: 0.310 eV/atom. For the magnetic moment, the calculation gives 0.00 μB/cell. The calculation puts the theoretical density at 7.08 g/cm³.

The structure belongs to space group R-3m (No. 166, hexagonal axes); the cell edges are 7.5516, 7.5516 and 17.0055 Å and the angles 90.00°, 90.00° and 120.00°. Symmetry generates all atoms from Tm at (0.0000, 0.0000, 0.1003), Be at (0.0000, 0.5000, 0.0000), Zn at (0.0000, 0.0000, 0.5000), Cu at (0.0167, 0.5084, 0.8750) and Cu at (0.0390, 0.5195, 0.3594).


6.
An optimized crystal structure of ZrH. Source: Alexandria, functional PBE-GGA.

For the magnetic moment, the calculation gives 0.00 μB/cell. The value obtained for the total energy is -6.09 eV/atom. The calculation puts the theoretical density at 6.21 g/cm³.

The structure belongs to space group P-6m2 (No. 187); the cell edges are 3.1430, 3.1430 and 2.8843 Å and the angles 90.00°, 90.00° and 120.00°. Symmetry generates all atoms from Zr at (0.0000, 0.0000, 0.0000) and H at (0.6667, 0.3333, 0.5000).


7.
An optimized crystal structure of Ca2RePd. Source: Alexandria, functional PBE-GGA.

As for the formation energy: 0.539 eV/atom. For the magnetic moment, the calculation gives 10.04 μB/cell. The energy relative to the lowest polymorph listed for this composition is 0.0 meV/atom. The calculation puts the theoretical density at 6.99 g/cm³.

The structure belongs to space group Fm-3m (No. 225); the cell edges are 7.074, 7.074 and 7.074 Å and the angles 90.00°, 90.00° and 90.00°. Symmetry generates all atoms from Ca at (0.250, 0.250, 0.250), Re at (0.000, 0.000, 0.000) and Pd at (0.000, 0.000, 0.500).


8.
An optimized crystal structure of CsIn2BiAu. Source: Alexandria, functional PBE-GGA.

As for the formation energy: -0.189 eV/atom. For the magnetic moment, the calculation gives 0.00 μB/cell. The calculation puts the theoretical density at 5.94 g/cm³.

The structure belongs to space group P4mm (No. 99); the cell edges are 5.184, 5.184 and 7.993 Å and the angles 90.00°, 90.00° and 90.00°. Symmetry generates all atoms from Cs at (0.000, 0.000, 0.000), In at (0.000, 0.500, 0.455), Bi at (0.500, 0.500, 0.221) and Au at (0.000, 0.000, 0.565).